DFT (GGA+U) results for a relaxed TbIn2WO8 crystal.

Computed properties:
Calculated volume   13.612 A^3/atom
Raw total energy   -80.8 eV for the cell shown

Lattice parameters (Å, degrees): 4.9318 4.9318 6.7160 90.00 90.00 90.74
Closest atoms and distances in Å follow each position.
Sites, in units of the cell vectors:
1 Tb 0.0000 0.0000 0.0000  6 O 2.19-2.33
2 In 0.5000 0.5000 0.2579  6 O 2.15-2.21
3 In 0.5000 0.5000 0.7421  6 O 2.15-2.21
4 W 0.0000 0.0000 0.5000  6 O 1.94-1.98
5 O 0.1865 0.8135 0.2862  1 W 1.94
6 O 0.1865 0.8135 0.7138  1 W 1.94
7 O 0.2861 0.2861 0.5000  1 W 1.98, 2 In 2.20
8 O 0.3158 0.3158 0.0000  2 In 2.15, 1 Tb 2.19
9 O 0.6842 0.6842 0.0000  2 In 2.15, 1 Tb 2.19
10 O 0.7139 0.7139 0.5000  1 W 1.98, 2 In 2.20
11 O 0.8135 0.1865 0.2862  1 W 1.94
12 O 0.8135 0.1865 0.7138  1 W 1.94